Material: Ac3AgC4O12
Method: DFT, GGA-PBE
State: relaxed

Summary:
- DOS at the Fermi energy (states/eV/f.u.) = 0.00
- space group = I432 (211)
- raw formation energy (eV per atom) = -2.018

Cell: 7.234 7.234 7.234 Å, 109.45 109.45 109.45°
Fractional coordinates of all 20 atoms:
O 0.500 0.390 0.610
O 0.390 0.781 0.890
O 0.219 0.610 0.110
O 0.110 0.890 0.500
O 0.610 0.110 0.219
O 0.500 0.110 0.890
O 0.890 0.500 0.110
O 0.610 0.500 0.390
O 0.110 0.219 0.610
O 0.781 0.890 0.390
O 0.890 0.390 0.781
O 0.390 0.610 0.500
Ag 0.000 0.000 0.000
C 0.500 0.500 0.500
C 0.000 0.000 0.500
C 0.000 0.500 0.000
C 0.500 0.000 0.000
Ac 0.000 0.500 0.500
Ac 0.500 0.500 0.000
Ac 0.500 0.000 0.500

Material: TbEr4Th3
Method: DFT, GGA-PBE
State: relaxed

Summary:
- DOS at the Fermi energy (states/eV/f.u.) = 12.32
- polymorph energy (0 for the lowest one) (eV per atom) = 0.0184
- space group = Pmn2_1 (31)
- energy of formation (meV per atom) = 45.3

Cell: 6.211 7.117 11.519 Å, 90.00 90.00 90.00°
Fractional coordinates of all 16 atoms:
Er 0.985 0.127 0.250
Er 0.644 0.131 0.500
Er 0.144 0.869 0.000
Er 0.485 0.873 0.750
Er 0.485 0.873 0.250
Er 0.143 0.874 0.500
Er 0.985 0.127 0.750
Er 0.643 0.126 0.000
Tb 0.154 0.375 0.000
Tb 0.654 0.625 0.500
Th 0.652 0.624 0.000
Th 0.976 0.616 0.750
Th 0.476 0.384 0.250
Th 0.976 0.616 0.250
Th 0.152 0.376 0.500
Th 0.476 0.384 0.750

Material: Ca2SiSe4
Method: DFT, GGA-PBE
State: relaxed

Summary:
- DOS at the Fermi energy (states/eV/f.u.) = 0.00
- polymorph energy (0 for the lowest one) (eV per atom) = 0.0000
- space group = Pnma (62)
- raw formation energy (eV per atom) = -1.350

Cell: 6.578 8.607 14.360 Å, 90.00 90.00 90.00°
Fractional coordinates of all 28 atoms:
Ca 0.000 0.000 0.500
Ca 0.000 0.500 0.500
Ca 0.482 0.250 0.727
Ca 0.500 0.000 0.000
Ca 0.982 0.750 0.773
Ca 0.500 0.500 0.000
Ca 0.018 0.250 0.227
Ca 0.518 0.750 0.273
Se 0.751 0.750 0.094
Se 0.728 0.250 0.556
Se 0.259 0.540 0.669
Se 0.741 0.040 0.331
Se 0.228 0.750 0.944
Se 0.741 0.460 0.331
Se 0.241 0.540 0.169
Se 0.272 0.750 0.444
Se 0.249 0.250 0.906
Se 0.749 0.750 0.594
Se 0.259 0.960 0.669
Se 0.759 0.040 0.831
Se 0.759 0.460 0.831
Se 0.241 0.960 0.169
Se 0.251 0.250 0.406
Se 0.772 0.250 0.056
Si 0.402 0.750 0.593
Si 0.098 0.750 0.093
Si 0.902 0.250 0.907
Si 0.598 0.250 0.407

Material: K14RbPd
Method: DFT, GGA-PBE
State: relaxed

Summary:
- DOS at the Fermi energy (states/eV/f.u.) = 11.90
- space group = Amm2 (38)
- energy of formation (meV per atom) = 40.9

Cell: 9.511 9.511 12.214 Å, 90.00 90.00 100.86°
Fractional coordinates of all 16 atoms:
K 0.110 0.890 0.000
K 0.801 0.542 0.320
K 0.624 0.889 0.500
K 0.347 0.653 0.241
K 0.111 0.376 0.500
K 0.597 0.403 0.000
K 0.801 0.542 0.680
K 0.883 0.117 0.729
K 0.458 0.199 0.680
K 0.883 0.117 0.271
K 0.347 0.653 0.759
K 0.085 0.378 0.000
K 0.622 0.915 0.000
K 0.458 0.199 0.320
Rb 0.120 0.880 0.500
Pd 0.753 0.247 0.500

Material: AcTeAu
Method: DFT, GGA-PBE
State: relaxed

Summary:
- DOS at the Fermi energy (states/eV/f.u.) = 0.03
- polymorph energy (0 for the lowest one) (eV per atom) = 0.0000
- space group = P3m1 (156)
- raw formation energy (eV per atom) = -1.061

Cell: 4.824 4.821 4.821 Å, 120.00 90.00 90.00°
Fractional coordinates of all 3 atoms:
Ac 0.384 0.667 0.333
Au 0.663 0.333 0.667
Te 0.953 0.000 0.000

Material: CdNi2W
Method: DFT, GGA-PBE
State: relaxed

Summary:
- DOS at the Fermi energy (states/eV/f.u.) = 2.17
- space group = C2/m (12)
- energy of formation (meV per atom) = 270.9

Cell: 4.420 4.420 5.287 Å, 83.25 83.25 35.61°
Fractional coordinates of all 4 atoms:
W 0.250 0.250 0.250
Ni 0.503 0.503 0.454
Ni 0.997 0.997 0.046
Cd 0.750 0.750 0.750

What did the first record say?
Material: Ac3AgC4O12
Method: DFT, GGA-PBE
State: relaxed

Summary:
- DOS at the Fermi energy (states/eV/f.u.) = 0.00
- space group = I432 (211)
- raw formation energy (eV per atom) = -2.018

Cell: 7.234 7.234 7.234 Å, 109.45 109.45 109.45°
Fractional coordinates of all 20 atoms:
O 0.500 0.390 0.610
O 0.390 0.781 0.890
O 0.219 0.610 0.110
O 0.110 0.890 0.500
O 0.610 0.110 0.219
O 0.500 0.110 0.890
O 0.890 0.500 0.110
O 0.610 0.500 0.390
O 0.110 0.219 0.610
O 0.781 0.890 0.390
O 0.890 0.390 0.781
O 0.390 0.610 0.500
Ag 0.000 0.000 0.000
C 0.500 0.500 0.500
C 0.000 0.000 0.500
C 0.000 0.500 0.000
C 0.500 0.000 0.000
Ac 0.000 0.500 0.500
Ac 0.500 0.500 0.000
Ac 0.500 0.000 0.500

Please write out number 1 again, unchanged.
Material: Ac3AgC4O12
Method: DFT, GGA-PBE
State: relaxed

Summary:
- DOS at the Fermi energy (states/eV/f.u.) = 0.00
- space group = I432 (211)
- raw formation energy (eV per atom) = -2.018

Cell: 7.234 7.234 7.234 Å, 109.45 109.45 109.45°
Fractional coordinates of all 20 atoms:
O 0.500 0.390 0.610
O 0.390 0.781 0.890
O 0.219 0.610 0.110
O 0.110 0.890 0.500
O 0.610 0.110 0.219
O 0.500 0.110 0.890
O 0.890 0.500 0.110
O 0.610 0.500 0.390
O 0.110 0.219 0.610
O 0.781 0.890 0.390
O 0.890 0.390 0.781
O 0.390 0.610 0.500
Ag 0.000 0.000 0.000
C 0.500 0.500 0.500
C 0.000 0.000 0.500
C 0.000 0.500 0.000
C 0.500 0.000 0.000
Ac 0.000 0.500 0.500
Ac 0.500 0.500 0.000
Ac 0.500 0.000 0.500